Entry 1:
DFT (PBE) results for a relaxed HgPd2Pb crystal.

Cell lengths 6.195, 6.195, 6.195 Å; angles 58.41, 150.87, 130.56 degrees
Element x y z (fractional)
Pd  0.000  0.749  0.749
Pd  0.000  0.251  0.251
Pb  0.000  0.500  0.500
Hg  0.000  0.000  0.000

## Properties
DOS at the Fermi energy, states/eV/atom: 0.538
Magnetic moment, μB/f.u.: 0.00
Formation enthalpy at 0 K, eV/atom: 0.223
VASP energy, eV per cell: -13.51



Entry 2:
DFT (PBE) results for a relaxed NiSb2Te crystal.

Cell lengths 7.233, 7.233, 7.233 Å; angles 32.20, 32.20, 32.20 degrees
Element x y z (fractional)
Te  0.250  0.250  0.250
Sb  0.023  0.023  0.023
Sb  0.477  0.477  0.477
Ni  0.750  0.750  0.750

## Properties
DOS at the Fermi energy, states/eV/atom: 0.571
Magnetic moment, μB/f.u.: 0.00
VASP energy, eV per cell: -17.27



Entry 3:
DFT (PBE) results for a relaxed SrRe2Te crystal.

Cell lengths 5.510, 5.510, 3.098 Å; angles 90.00, 90.00, 117.84 degrees
Element x y z (fractional)
Sr  0.500  0.000  0.500
Re  0.000  0.000  0.000
Re  0.500  0.500  0.000
Te  0.000  0.500  0.500

## Properties
DOS at the Fermi energy, states/eV/atom: 1.386
Magnetic moment, μB/f.u.: 0.00
VASP energy, eV per cell: -24.56



Entry 4:
DFT (PBE) results for a relaxed SiAsN2 crystal.

Cell lengths 6.206, 6.206, 6.206 Å; angles 27.27, 27.27, 27.27 degrees
Element x y z (fractional)
Si  0.000  0.000  0.000
N  0.106  0.106  0.106
N  0.894  0.894  0.894
As  0.500  0.500  0.500

## Properties
DOS at the Fermi energy, states/eV/atom: 0.250
Magnetic moment, μB/f.u.: 0.00
VASP energy, eV per cell: -24.55
Distance to the lowest polymorph of the same formula, meV/atom: 710.3



Entry 5:
DFT (PBE) results for a relaxed ZrTcClF2 crystal.

Cell lengths 4.039, 5.179, 4.039 Å; angles 90.00, 90.00, 90.00 degrees
Last column: magnetic moment on the atom in μB.
Element x y z (fractional)
Zr  0.000  0.500  0.000  -0.15
Tc  0.000  0.000  0.000  0.69
Cl  0.500  0.500  0.500  0.00
F  0.000  0.000  0.500  0.02
F  0.500  0.000  0.000  0.06

## Properties
DOS at the Fermi energy, states/eV/atom: 0.406
Magnetic moment, μB/f.u.: 0.61
VASP energy, eV per cell: -29.90



Entry 6:
DFT (PBE) results for a relaxed PbW3 crystal.

Cell lengths 5.202, 5.202, 5.202 Å; angles 90.00, 90.00, 90.00 degrees
Element x y z (fractional)
W  0.500  0.000  0.250
W  0.750  0.500  0.000
W  0.000  0.250  0.500
W  0.250  0.500  0.000
W  0.500  0.000  0.750
W  0.000  0.750  0.500
Pb  0.000  0.000  0.000
Pb  0.500  0.500  0.500

## Properties
DOS at the Fermi energy, states/eV/atom: 0.417
Magnetic moment, μB/f.u.: 0.00
Formation enthalpy at 0 K, eV/atom: 0.804
VASP energy, eV per cell: -78.70
Distance to the lowest polymorph of the same formula, meV/atom: 115.6



Entry 7:
DFT (PBE) results for a relaxed Sm2ZnBi crystal.

Cell lengths 3.991, 3.991, 6.859 Å; angles 90.00, 90.00, 90.00 degrees
Element x y z (fractional)
Sm  0.000  0.000  0.757
Sm  0.000  0.000  0.243
Bi  0.500  0.500  0.500
Zn  0.500  0.500  0.000

## Properties
DOS at the Fermi energy, states/eV/atom: 0.732
Magnetic moment, μB/f.u.: 0.00
Formation enthalpy at 0 K, eV/atom: -0.505
VASP energy, eV per cell: -16.61
Distance to the lowest polymorph of the same formula, meV/atom: 55.6



Entry 8:
DFT (PBE) results for a relaxed MgZrBr2 crystal.

Cell lengths 3.338, 3.338, 9.859 Å; angles 90.00, 90.00, 90.00 degrees
Element x y z (fractional)
Br  0.000  0.000  0.919
Br  0.000  0.000  0.581
Mg  0.500  0.500  0.250
Zr  0.500  0.500  0.750

## Properties
DOS at the Fermi energy, states/eV/atom: 0.522
Magnetic moment, μB/f.u.: 0.03
VASP energy, eV per cell: -15.73
Distance to the lowest polymorph of the same formula, meV/atom: 175.6